An optimized crystal structure of Ba2ErFe2O6, computed with GGA+U.

Output
- total energy (eV per atom) = -6.8114
- M_tot (μB per formula unit) = 9.000

Cell and atoms, written as POSCAR:
```
Ba2ErFe2O6
1.0
-1.985 -4.297 -3.909
3.276 -1.334 -5.017
3.309 -5.886 -0.029
Ba O Fe Er
2 6 2 1
Cartesian
1.473 -3.329 -1.908
3.127 -8.188 -7.047
0.114 -5.058 -4.137
1.749 -8.001 -4.241
1.818 -5.753 -6.748
4.487 -6.459 -4.818
2.851 -3.517 -4.714
2.782 -5.765 -2.207
2.939 -6.649 -3.823
1.661 -4.869 -5.131
0.000 0.000 0.000
```